(1)
Compound: Pr3Cd7Pd4
Source: the Alexandria database
Functional: PBE-GGA
Structure: relaxed

```
data_Pr3Cd7Pd4
_cell_length_a 16.276
_cell_length_b 4.494
_cell_length_c 10.512
_cell_angle_alpha 90.00
_cell_angle_beta 123.99
_cell_angle_gamma 90.00
_symmetry_space_group_name_H-M 'C 1 2/m 1'
_symmetry_Int_Tables_number 12
loop_
_symmetry_equiv_pos_as_xyz
'x,y,z'
'-x,-y,-z'
'-x,y,-z'
'x,-y,z'
'x+1/2,y+1/2,z'
'-x+1/2,-y+1/2,-z'
'-x+1/2,y+1/2,-z'
'x+1/2,-y+1/2,z'
loop_
_atom_site_label
_atom_site_type_symbol
_atom_site_fract_x
_atom_site_fract_y
_atom_site_fract_z
Pr1 Pr 0.000 0.000 0.000
Pr2 Pr 0.199 0.500 0.713
Cd1 Cd 0.000 0.000 0.500
Cd2 Cd 0.013 0.500 0.310
Cd3 Cd 0.162 0.000 0.432
Cd4 Cd 0.176 0.500 0.012
Pd1 Pd 0.111 0.000 0.823
Pd2 Pd 0.161 0.500 0.258
```

Values from the calculation:
- DOS at the Fermi energy (states/eV per cell) = 11.32
- calculated formation energy (eV per atom) = -0.500
- crystal system = monoclinic


(2)
Compound: PrCd3Pd3
Source: the Alexandria database
Functional: PBE-GGA
Structure: relaxed

```
data_PrCd3Pd3
_cell_length_a 7.277
_cell_length_b 7.277
_cell_length_c 7.277
_cell_angle_alpha 90.00
_cell_angle_beta 90.00
_cell_angle_gamma 90.00
_symmetry_space_group_name_H-M 'P m -3 n'
_symmetry_Int_Tables_number 223
_symmetry_space_group_name_Hall '-P 4n 2 3'
loop_
_atom_site_label
_atom_site_type_symbol
_atom_site_fract_x
_atom_site_fract_y
_atom_site_fract_z
Pr1 Pr 0.000 0.000 0.000
Cd1 Cd 0.000 0.250 0.500
Pd1 Pd 0.000 0.500 0.250
```

Values from the calculation:
- energy above the lowest structure with this stoichiometry (meV per atom) = 565
- DOS at the Fermi energy (states/eV per cell) = 5.85
- calculated formation energy (eV per atom) = 0.147
- crystal system = cubic


(3)
Compound: PrCd5Pd3
Source: the Alexandria database
Functional: PBE-GGA
Structure: relaxed

```
data_PrCd5Pd3
_cell_length_a 4.096
_cell_length_b 14.306
_cell_length_c 13.420
_cell_angle_alpha 90.00
_cell_angle_beta 90.00
_cell_angle_gamma 90.00
_symmetry_space_group_name_H-M 'C m c m'
_symmetry_Int_Tables_number 63
_symmetry_space_group_name_Hall '-C 2c 2'
loop_
_atom_site_label
_atom_site_type_symbol
_atom_site_fract_x
_atom_site_fract_y
_atom_site_fract_z
Pr1 Pr 0.000 0.143 0.250
Cd1 Cd 0.000 0.000 0.000
Cd2 Cd 0.000 0.196 0.546
Cd3 Cd 0.000 0.425 0.147
Pd1 Pd 0.000 0.199 0.750
Pd2 Pd 0.000 0.386 0.582
```

Values from the calculation:
- DOS at the Fermi energy (states/eV per cell) = 16.42
- calculated formation energy (eV per atom) = -0.326
- crystal system = orthorhombic


(4)
Compound: Pr2PuCd2Pd5
Source: the Alexandria database
Functional: PBE-GGA
Structure: relaxed

```
data_Pr2PuCd2Pd5
_cell_length_a 10.485
_cell_length_b 10.485
_cell_length_c 3.961
_cell_angle_alpha 90.00
_cell_angle_beta 90.00
_cell_angle_gamma 90.00
_symmetry_space_group_name_H-M 'P 4/m b m'
_symmetry_Int_Tables_number 127
_symmetry_space_group_name_Hall '-P 4 2ab'
loop_
_atom_site_label
_atom_site_type_symbol
_atom_site_fract_x
_atom_site_fract_y
_atom_site_fract_z
Pr1 Pr 0.172 0.328 0.000
Pu1 Pu 0.000 0.000 0.000
Cd1 Cd 0.126 0.626 0.000
Pd1 Pd 0.000 0.500 0.500
Pd2 Pd 0.041 0.796 0.500
```

Values from the calculation:
- DOS at the Fermi energy (states/eV per cell) = 36.33
- calculated formation energy (eV per atom) = -0.467
- crystal system = tetragonal


(5)
Compound: PrCdPdRh
Source: the Alexandria database
Functional: PBE-GGA
Structure: relaxed

```
data_PrCdPdRh
_cell_length_a 6.869
_cell_length_b 6.869
_cell_length_c 6.869
_cell_angle_alpha 90.00
_cell_angle_beta 90.00
_cell_angle_gamma 90.00
_symmetry_space_group_name_H-M 'F -4 3 m'
_symmetry_Int_Tables_number 216
_symmetry_space_group_name_Hall 'F -4 2 3'
loop_
_atom_site_label
_atom_site_type_symbol
_atom_site_fract_x
_atom_site_fract_y
_atom_site_fract_z
Pr1 Pr 0.000 0.000 0.000
Cd1 Cd 0.000 0.000 0.500
Pd1 Pd 0.250 0.250 0.250
Rh1 Rh 0.250 0.250 0.750
```

Values from the calculation:
- DOS at the Fermi energy (states/eV per cell) = 11.67
- calculated formation energy (eV per atom) = -0.507
- crystal system = cubic


(6)
Compound: Pr2CdSb3Pd4
Source: the Alexandria database
Functional: PBE-GGA
Structure: relaxed

```
data_Pr2CdSb3Pd4
_cell_length_a 4.478
_cell_length_b 4.478
_cell_length_c 11.243
_cell_angle_alpha 90.00
_cell_angle_beta 90.00
_cell_angle_gamma 90.00
_symmetry_space_group_name_H-M 'P -4 m 2'
_symmetry_Int_Tables_number 115
loop_
_symmetry_equiv_pos_as_xyz
'x,y,z'
'y,-x,-z'
'-x,-y,z'
'-y,x,-z'
'-x,y,z'
'-y,-x,-z'
'x,-y,z'
'y,x,-z'
loop_
_atom_site_label
_atom_site_type_symbol
_atom_site_fract_x
_atom_site_fract_y
_atom_site_fract_z
Pr1 Pr 0.000 0.500 0.237
Cd1 Cd 0.000 0.000 0.500
Sb1 Sb 0.000 0.500 0.867
Sb2 Sb 0.500 0.500 0.500
Pd1 Pd 0.000 0.000 0.000
Pd2 Pd 0.000 0.500 0.638
Pd3 Pd 0.500 0.500 0.000
```

Values from the calculation:
- DOS at the Fermi energy (states/eV per cell) = 4.41
- VASP energy (eV per atom) = -5.17
- crystal system = tetragonal


(7)
Compound: PrCd2SbPd4
Source: the Alexandria database
Functional: PBE-GGA
Structure: relaxed

```
data_PrCd2SbPd4
_cell_length_a 4.8752
_cell_length_b 4.8752
_cell_length_c 22.9273
_cell_angle_alpha 90.00
_cell_angle_beta 90.00
_cell_angle_gamma 120.00
_symmetry_space_group_name_H-M 'R -3 m'
_symmetry_Int_Tables_number 166
_symmetry_space_group_name_Hall '-R 3 2"'
loop_
_atom_site_label
_atom_site_type_symbol
_atom_site_fract_x
_atom_site_fract_y
_atom_site_fract_z
Pr1 Pr 0.0000 0.0000 0.0000
Cd1 Cd 0.0000 0.0000 0.2556
Sb1 Sb 0.0000 0.0000 0.5000
Pd1 Pd 0.0000 0.0000 0.1325
Pd2 Pd 0.0000 0.0000 0.3828
```

Values from the calculation:
- DOS at the Fermi energy (states/eV per cell) = 9.09
- VASP energy (eV per atom) = -4.44
- crystal system = trigonal


(8)
Compound: PrScCdPd
Source: the Alexandria database
Functional: PBE-GGA
Structure: relaxed

```
data_PrScCdPd
_cell_length_a 7.224
_cell_length_b 7.224
_cell_length_c 7.224
_cell_angle_alpha 90.00
_cell_angle_beta 90.00
_cell_angle_gamma 90.00
_symmetry_space_group_name_H-M 'F -4 3 m'
_symmetry_Int_Tables_number 216
_symmetry_space_group_name_Hall 'F -4 2 3'
loop_
_atom_site_label
_atom_site_type_symbol
_atom_site_fract_x
_atom_site_fract_y
_atom_site_fract_z
Pr1 Pr 0.000 0.000 0.000
Sc1 Sc 0.000 0.000 0.500
Cd1 Cd 0.250 0.250 0.750
Pd1 Pd 0.250 0.250 0.250
```

Values from the calculation:
- DOS at the Fermi energy (states/eV per cell) = 16.40
- calculated formation energy (eV per atom) = -0.438
- crystal system = cubic


(9)
Compound: PrCdSi2Pd5
Source: the Alexandria database
Functional: PBE-GGA
Structure: relaxed

```
data_PrCdSi2Pd5
_cell_length_a 4.283
_cell_length_b 4.283
_cell_length_c 8.690
_cell_angle_alpha 90.00
_cell_angle_beta 90.00
_cell_angle_gamma 90.00
_symmetry_space_group_name_H-M 'P 4/m m m'
_symmetry_Int_Tables_number 123
_symmetry_space_group_name_Hall '-P 4 2'
loop_
_atom_site_label
_atom_site_type_symbol
_atom_site_fract_x
_atom_site_fract_y
_atom_site_fract_z
Pr1 Pr 0.000 0.000 0.000
Cd1 Cd 0.000 0.000 0.500
Si1 Si 0.500 0.500 0.368
Pd1 Pd 0.000 0.500 0.246
Pd2 Pd 0.500 0.500 0.000
```

Values from the calculation:
- DOS at the Fermi energy (states/eV per cell) = 3.23
- VASP energy (eV per atom) = -5.32
- crystal system = tetragonal


(10)
Compound: Pr3CdSi2Pd9
Source: the Alexandria database
Functional: PBE-GGA
Structure: relaxed

```
data_Pr3CdSi2Pd9
_cell_length_a 5.8450
_cell_length_b 5.8450
_cell_length_c 10.7142
_cell_angle_alpha 90.00
_cell_angle_beta 90.00
_cell_angle_gamma 120.00
_symmetry_space_group_name_H-M 'P -3 m 1'
_symmetry_Int_Tables_number 164
_symmetry_space_group_name_Hall '-P 3 2"'
loop_
_atom_site_label
_atom_site_type_symbol
_atom_site_fract_x
_atom_site_fract_y
_atom_site_fract_z
Pr1 Pr 0.0000 0.0000 0.0000
Pr2 Pr 0.3333 0.6667 0.6202
Cd1 Cd 0.0000 0.0000 0.5000
Si1 Si 0.3333 0.6667 0.1554
Pd1 Pd 0.0000 0.5000 0.0000
Pd2 Pd 0.1619 0.3239 0.2980
```

Values from the calculation:
- DOS at the Fermi energy (states/eV per cell) = 5.97
- VASP energy (eV per atom) = -5.45
- crystal system = trigonal


(11)
Compound: PrSmCdPd
Source: the Alexandria database
Functional: PBE-GGA
Structure: relaxed

```
data_PrSmCdPd
_cell_length_a 7.466
_cell_length_b 7.466
_cell_length_c 7.466
_cell_angle_alpha 90.00
_cell_angle_beta 90.00
_cell_angle_gamma 90.00
_symmetry_space_group_name_H-M 'F -4 3 m'
_symmetry_Int_Tables_number 216
_symmetry_space_group_name_Hall 'F -4 2 3'
loop_
_atom_site_label
_atom_site_type_symbol
_atom_site_fract_x
_atom_site_fract_y
_atom_site_fract_z
Pr1 Pr 0.000 0.000 0.000
Sm1 Sm 0.000 0.000 0.500
Cd1 Cd 0.250 0.250 0.750
Pd1 Pd 0.250 0.250 0.250
```

Values from the calculation:
- DOS at the Fermi energy (states/eV per cell) = 13.54
- calculated formation energy (eV per atom) = -0.472
- crystal system = cubic


(12)
Compound: Pr2Cd2SnPd5
Source: the Alexandria database
Functional: PBE-GGA
Structure: relaxed

```
data_Pr2Cd2SnPd5
_cell_length_a 10.529
_cell_length_b 10.529
_cell_length_c 3.765
_cell_angle_alpha 90.00
_cell_angle_beta 90.00
_cell_angle_gamma 90.00
_symmetry_space_group_name_H-M 'P 4/m b m'
_symmetry_Int_Tables_number 127
_symmetry_space_group_name_Hall '-P 4 2ab'
loop_
_atom_site_label
_atom_site_type_symbol
_atom_site_fract_x
_atom_site_fract_y
_atom_site_fract_z
Pr1 Pr 0.171 0.329 0.000
Cd1 Cd 0.129 0.629 0.000
Sn1 Sn 0.000 0.000 0.000
Pd1 Pd 0.000 0.500 0.500
Pd2 Pd 0.042 0.803 0.500
```

Values from the calculation:
- DOS at the Fermi energy (states/eV per cell) = 11.18
- calculated formation energy (eV per atom) = -0.515
- crystal system = tetragonal


Total magnetic moment (μB per cell)
0.0, 0.0, 0.0, 10.6, 0.0, 0.0, 0.0, 0.0, 0.0, 0.0, 0.0, 0.0